Material: BaMg2Tc2
Method: DFT, PBE-GGA
State: optimized geometry

Lattice parameters (Å, degrees): 8.5910 8.5910 2.9674 90.00 90.00 90.00
Last column: nearest neighbours and their distance in Å.
Fractional coordinates of all 10 atoms:
Mg (0.3188, 0.8188, 0.0000)  6 Tc 2.89-3.11, 2 Mg 2.97, 2 Ba 3.15
Mg (0.8188, 0.6812, 0.0000)  6 Tc 2.89-3.11, 2 Mg 2.97, 2 Ba 3.15
Mg (0.6812, 0.1812, 0.0000)  6 Tc 2.89-3.11, 2 Mg 2.97, 2 Ba 3.15
Mg (0.1812, 0.3188, 0.0000)  6 Tc 2.89-3.11, 2 Mg 2.97, 2 Ba 3.15
Ba (0.0000, 0.0000, 0.0000)  2 Ba 2.97, 4 Mg 3.15
Ba (0.5000, 0.5000, 0.0000)  2 Ba 2.97, 4 Mg 3.15
Tc (0.0942, 0.5942, 0.5000)  1 Tc 2.29
Tc (0.5942, 0.9058, 0.5000)  1 Tc 2.29
Tc (0.9058, 0.4058, 0.5000)  1 Tc 2.29
Tc (0.4058, 0.0942, 0.5000)  1 Tc 2.29

Properties
For the total energy, the calculation gives -23.473 eV per formula unit. As for the space group: No. 127. For the energy of formation from the pure elements, the calculation gives 0.474 eV per atom. The value obtained for the calculated volume is 219.0 Å³/cell. The value obtained for the spin magnetization is 0.0 μB per cell.